Entry from OQMD via LeMat-Bulk: an optimized crystal structure of GdYZnIr2 (PBE).

Values from the calculation:
ΔE_f: -0.768 eV per atom
volume: 20.42 Å³ per atom
space group: Imm2, No. 44

Lattice parameters (Å, degrees): 5.512 5.512 5.512 135.35 116.19 81.21
Fractional positions:
Gd1 0.000 0.000 0.000
Y1 0.405 0.405 0.000
Zn1 0.702 0.202 0.500
Ir1 0.433 0.703 0.730
Ir2 0.972 0.703 0.270

***

Entry from OQMD via LeMat-Bulk: an optimized crystal structure of Rb2NbCdSe6 (PBE).

Values from the calculation:
total DFT energy (no corrections): -3.963 eV per atom
volume: 29.85 Å³ per atom
space group: R3, No. 146

Lattice parameters (Å, degrees): 7.597 7.597 7.597 58.37 58.37 58.37
Fractional positions:
Rb1 0.000 0.000 0.000
Rb2 0.489 0.489 0.489
Nb1 0.781 0.781 0.781
Cd1 0.279 0.279 0.279
Se1 0.013 0.998 0.487
Se2 0.487 0.013 0.998
Se3 0.526 0.537 0.923
Se4 0.537 0.923 0.526
Se5 0.923 0.526 0.537
Se6 0.998 0.487 0.013

***

Entry from OQMD via LeMat-Bulk: an optimized crystal structure of SmZn2 (PBE).

Values from the calculation:
ΔE_f: -0.231 eV per atom
volume: 20.70 Å³ per atom
space group: P2_1/m, No. 11

Lattice parameters (Å, degrees): 8.344 4.678 13.293 90.00 106.75 90.00
Fractional positions:
Sm1 0.040 0.250 0.276
Sm2 0.255 0.250 0.065
Sm3 0.312 0.750 0.616
Sm4 0.401 0.750 0.281
Sm5 0.599 0.250 0.719
Sm6 0.688 0.250 0.384
Sm7 0.745 0.750 0.935
Sm8 0.960 0.750 0.724
Zn1 0.047 0.750 0.136
Zn2 0.097 0.250 0.518
Zn3 0.114 0.750 0.948
Zn4 0.140 0.750 0.397
Zn5 0.224 0.250 0.767
Zn6 0.356 0.750 0.851
Zn7 0.386 0.250 0.467
Zn8 0.480 0.750 0.060
Zn9 0.520 0.250 0.940
Zn10 0.614 0.750 0.533
Zn11 0.644 0.250 0.149
Zn12 0.776 0.750 0.233
Zn13 0.860 0.250 0.603
Zn14 0.886 0.250 0.052
Zn15 0.903 0.750 0.482
Zn16 0.953 0.250 0.864

***

Entry from OQMD via LeMat-Bulk: an optimized crystal structure of Gd4Ge3 (PBE).

Values from the calculation:
total DFT energy (no corrections): -5.497 eV per atom
volume: 25.46 Å³ per atom
space group: I-43d, No. 220

Lattice parameters (Å, degrees): 7.737 7.737 7.737 109.47 109.47 109.47
Fractional positions:
Gd1 0.000 0.131 0.500
Gd2 0.000 0.631 0.500
Gd3 0.131 0.500 0.000
Gd4 0.369 0.369 0.369
Gd5 0.500 0.000 0.131
Gd6 0.500 0.000 0.631
Gd7 0.631 0.500 0.000
Gd8 0.869 0.869 0.869
Ge1 0.125 0.875 0.250
Ge2 0.250 0.125 0.875
Ge3 0.375 0.625 0.750
Ge4 0.625 0.750 0.375
Ge5 0.750 0.375 0.625
Ge6 0.875 0.250 0.125

***

The lowest volume belongs to which entry? GdYZnIr2